No. 1
Entry from the Open Quantum Materials Database: Cu4Ag after structural relaxation (PBE).

Lattice parameters (Å, degrees): 4.5661 4.5661 11.3908 100.31 100.31 34.27
Element x y z (fractional)
Cu: 0.0000 0.0000 0.0000
Cu: 0.0962 0.0962 0.7166
Cu: 0.3002 0.3002 0.0946
Cu: 0.4017 0.4017 0.8163
Cu: 0.5000 0.5000 0.5000
Cu: 0.5983 0.5983 0.1837
Cu: 0.6998 0.6998 0.9054
Cu: 0.9038 0.9038 0.2834
Ag: 0.2003 0.2003 0.3882
Ag: 0.7997 0.7997 0.6118

Calculated values
Energy of formation from the pure elements (eV per atom): 0.0674
Relative energy among the computed polymorphs (meV/atom): 23
Crystal system: monoclinic
E (eV/cell): -34.7

No. 2
Entry from the Open Quantum Materials Database: Hf2GaTc after structural relaxation (PBE).

Lattice parameters (Å, degrees): 4.6283 4.6283 4.6283 60.00 60.00 60.00
Element x y z (fractional)
Hf: 0.0000 0.0000 0.0000
Hf: 0.2500 0.2500 0.2500
Ga: 0.5000 0.5000 0.5000
Tc: 0.7500 0.7500 0.7500

Calculated values
Crystal system: cubic
E (eV/cell): -34.0

No. 3
Entry from the Open Quantum Materials Database: RbYPtSe3 after structural relaxation (PBE).

Lattice parameters (Å, degrees): 15.8866 4.0392 11.0534 90.00 90.00 90.00
Element x y z (fractional)
Rb: 0.2346 0.2500 0.0389
Rb: 0.2654 0.7500 0.5389
Rb: 0.7346 0.2500 0.4611
Rb: 0.7654 0.7500 0.9611
Y: 0.0138 0.2500 0.3421
Y: 0.4862 0.7500 0.8421
Y: 0.5138 0.2500 0.1579
Y: 0.9862 0.7500 0.6579
Pt: 0.0076 0.2500 0.9170
Pt: 0.4924 0.7500 0.4170
Pt: 0.5076 0.2500 0.5830
Pt: 0.9924 0.7500 0.0830
Se: 0.0932 0.7500 0.8689
Se: 0.0975 0.2500 0.5678
Se: 0.1167 0.7500 0.2334
Se: 0.3833 0.2500 0.7334
Se: 0.4025 0.7500 0.0678
Se: 0.4068 0.2500 0.3689
Se: 0.5932 0.7500 0.6311
Se: 0.5975 0.2500 0.9322
Se: 0.6167 0.7500 0.2666
Se: 0.8833 0.2500 0.7666
Se: 0.9025 0.7500 0.4322
Se: 0.9068 0.2500 0.1311

Calculated values
Relative energy among the computed polymorphs (meV/atom): 3
Crystal system: orthorhombic
E (eV/cell): -122.8

No. 4
Entry from the Open Quantum Materials Database: Zr2ZnPt after structural relaxation (PBE).

Lattice parameters (Å, degrees): 4.7001 4.7001 4.7001 60.00 60.00 60.00
Element x y z (fractional)
Zr: 0.0000 0.0000 0.0000
Zr: 0.2500 0.2500 0.2500
Zn: 0.7500 0.7500 0.7500
Pt: 0.5000 0.5000 0.5000

Calculated values
Energy of formation from the pure elements (eV per atom): -0.3323
Crystal system: cubic
E (eV/cell): -25.7

No. 5
Entry from the Open Quantum Materials Database: Zr3B4Pb after structural relaxation (PBE).

Lattice parameters (Å, degrees): 3.1462 3.3972 10.6805 90.00 90.00 90.00
Element x y z (fractional)
Zr: 0.0000 0.0000 0.0000
Zr: 0.5000 0.0000 0.2676
Zr: 0.5000 0.0000 0.7324
B: 0.0000 0.5000 0.1694
B: 0.0000 0.5000 0.8306
B: 0.5000 0.5000 0.0932
B: 0.5000 0.5000 0.9068
Pb: 0.0000 0.5000 0.5000

Calculated values
Crystal system: orthorhombic
E (eV/cell): -61.5

No. 6
Entry from the Open Quantum Materials Database: Pr2AlNi9 after structural relaxation (PBE).

Lattice parameters (Å, degrees): 4.9657 4.9657 8.0224 90.00 90.00 119.26
Element x y z (fractional)
Pr: 0.0000 0.0000 0.2348
Pr: 0.0000 0.0000 0.7652
Al: 0.5000 0.5000 0.5000
Ni: 0.0000 0.5000 0.0000
Ni: 0.0000 0.5000 0.5000
Ni: 0.3321 0.6679 0.2505
Ni: 0.3321 0.6679 0.7495
Ni: 0.5000 0.0000 0.0000
Ni: 0.5000 0.0000 0.5000
Ni: 0.5000 0.5000 0.0000
Ni: 0.6679 0.3321 0.2505
Ni: 0.6679 0.3321 0.7495

Calculated values
Crystal system: orthorhombic
E (eV/cell): -67.8

No. 7
Entry from the Open Quantum Materials Database: Lu2NbW after structural relaxation (PBE).

Lattice parameters (Å, degrees): 4.9176 4.9176 4.9176 60.00 60.00 60.00
Element x y z (fractional)
Lu: 0.0000 0.0000 0.0000
Lu: 0.2500 0.2500 0.2500
Nb: 0.5000 0.5000 0.5000
W: 0.7500 0.7500 0.7500

Calculated values
Energy of formation from the pure elements (eV per atom): 0.3567
Crystal system: cubic
E (eV/cell): -30.7

No. 8
Entry from the Open Quantum Materials Database: MgScGaNi after structural relaxation (PBE).

Lattice parameters (Å, degrees): 4.4702 4.4702 4.4702 60.00 60.00 60.00
Element x y z (fractional)
Mg: 0.0000 0.0000 0.0000
Sc: 0.7500 0.7500 0.7500
Ga: 0.2500 0.2500 0.2500
Ni: 0.5000 0.5000 0.5000

Calculated values
Relative energy among the computed polymorphs (meV/atom): 52
Crystal system: cubic
E (eV/cell): -17.9

No. 9
Entry from the Open Quantum Materials Database: PaSiHg after structural relaxation (PBE).

Lattice parameters (Å, degrees): 4.6836 4.6836 4.6836 60.00 60.00 60.00
Element x y z (fractional)
Pa: 0.0000 0.0000 0.0000
Si: 0.7500 0.7500 0.7500
Hg: 0.5000 0.5000 0.5000

Calculated values
Relative energy among the computed polymorphs (meV/atom): 0
Crystal system: cubic
E (eV/cell): -14.6

No. 10
Entry from the Open Quantum Materials Database: YHgSO after structural relaxation (PBE).

Lattice parameters (Å, degrees): 3.9420 3.9420 9.9772 90.00 90.00 90.00
Element x y z (fractional)
Y: 0.2500 0.2500 0.1107
Y: 0.7500 0.7500 0.8893
Hg: 0.2500 0.7500 0.5000
Hg: 0.7500 0.2500 0.5000
S: 0.2500 0.2500 0.7389
S: 0.7500 0.7500 0.2611
O: 0.2500 0.7500 0.0000
O: 0.7500 0.2500 0.0000

Calculated values
Relative energy among the computed polymorphs (meV/atom): 130
Crystal system: tetragonal
E (eV/cell): -45.3

No. 11
Entry from the Open Quantum Materials Database: Rb2TlCuBr6 after structural relaxation (PBE).

Lattice parameters (Å, degrees): 7.7528 7.7528 7.7527 119.98 119.98 60.02
Element x y z (fractional)
Rb: 0.2498 0.2498 0.2500
Rb: 0.7502 0.7502 0.7500
Tl: 0.0000 0.0000 0.5000
Cu: 0.5000 0.5000 0.0000
Br: 0.2622 0.7365 0.2367
Br: 0.2628 0.2628 0.7618
Br: 0.2635 0.7378 0.7633
Br: 0.7365 0.2622 0.2367
Br: 0.7372 0.7372 0.2382
Br: 0.7378 0.2635 0.7633

Calculated values
Relative energy among the computed polymorphs (meV/atom): 4
Crystal system: monoclinic
E (eV/cell): -27.7

No. 12
Entry from the Open Quantum Materials Database: CsCoReAu after structural relaxation (PBE).

Lattice parameters (Å, degrees): 4.9535 4.9535 4.9535 60.00 60.00 60.00
Element x y z (fractional)
Cs: 0.0000 0.0000 0.0000
Co: 0.7500 0.7500 0.7500
Re: 0.5000 0.5000 0.5000
Au: 0.2500 0.2500 0.2500

Calculated values
Relative energy among the computed polymorphs (meV/atom): 0
Crystal system: cubic
E (eV/cell): -16.4